# Ho5TlPt (PBE, relaxed)
# VASP energy   -4.818 eV per atom
# ΔE_f   -0.347 eV/atom
data_Ho5TlPt
_chemical_formula_sum 'Ho20 Tl4 Pt4'
_cell_length_a 9.044
_cell_length_b 7.593
_cell_length_c 11.806
_cell_angle_alpha 90.00
_cell_angle_beta 104.55
_cell_angle_gamma 90.00
_symmetry_space_group_name_H-M 'C 1 2/c 1'
_symmetry_Int_Tables_number 15
_symmetry_space_group_name_Hall '-C 2yc'
loop_
_atom_site_label
_atom_site_fract_x
_atom_site_fract_y
_atom_site_fract_z
_atom_site_occupancy
Ho1 0.000 0.003 0.250 1
Ho2 0.122 0.342 0.563 1
Ho3 0.247 0.323 0.874 1
Tl1 0.000 0.407 0.250 1
Pt1 0.000 0.000 0.000 1

# SrAgGeMo2 (PBE, relaxed)
# VASP energy   -4.694 eV per atom
# ΔE_f   1.469 eV/atom
data_SrAgGeMo2
_chemical_formula_sum 'Sr1 Ag1 Ge1 Mo2'
_cell_length_a 5.235
_cell_length_b 5.235
_cell_length_c 4.870
_cell_angle_alpha 90.00
_cell_angle_beta 90.00
_cell_angle_gamma 90.00
_symmetry_space_group_name_H-M 'P 4/m m m'
_symmetry_Int_Tables_number 123
_symmetry_space_group_name_Hall '-P 4 2'
loop_
_atom_site_label
_atom_site_fract_x
_atom_site_fract_y
_atom_site_fract_z
_atom_site_occupancy
Sr1 0.000 0.000 0.000 1
Ag1 0.500 0.500 0.500 1
Ge1 0.500 0.500 0.000 1
Mo1 0.000 0.500 0.500 1

# KCaNi2 (PBE, relaxed)
# Energy above the most stable polymorph in this dataset   494 meV/atom
# VASP energy   -3.050 eV per atom
# ΔE_f   0.616 eV/atom
data_KCaNi2
_chemical_formula_sum 'K2 Ca2 Ni4'
_cell_length_a 6.527
_cell_length_b 7.981
_cell_length_c 3.341
_cell_angle_alpha 90.00
_cell_angle_beta 90.00
_cell_angle_gamma 90.00
_symmetry_space_group_name_H-M 'C m m m'
_symmetry_Int_Tables_number 65
_symmetry_space_group_name_Hall '-C 2 2'
loop_
_atom_site_label
_atom_site_fract_x
_atom_site_fract_y
_atom_site_fract_z
_atom_site_occupancy
K1 0.000 0.000 0.000 1
Ca1 0.000 0.500 0.000 1
Ni1 0.250 0.250 0.500 1

# CaSi2Ni (PBE, relaxed)
# VASP energy   -4.684 eV per atom
# Formation energy (no corrections)   -0.1 eV/f.u.
data_CaSi2Ni
_chemical_formula_sum 'Ca1 Si2 Ni1'
_cell_length_a 3.950
_cell_length_b 3.950
_cell_length_c 4.130
_cell_angle_alpha 90.00
_cell_angle_beta 90.00
_cell_angle_gamma 90.00
_symmetry_space_group_name_H-M 'P 4/m m m'
_symmetry_Int_Tables_number 123
_symmetry_space_group_name_Hall '-P 4 2'
loop_
_atom_site_label
_atom_site_fract_x
_atom_site_fract_y
_atom_site_fract_z
_atom_site_occupancy
Ca1 0.000 0.000 0.000 1
Si1 0.000 0.500 0.500 1
Ni1 0.500 0.500 0.000 1

# Na3CdSn (PBE, relaxed)
# Energy above the most stable polymorph in this dataset   78 meV/atom
# VASP energy   -1.821 eV per atom
# ΔE_f   -0.046 eV/atom
data_Na3CdSn
_chemical_formula_sum 'Na12 Cd4 Sn4'
_cell_length_a 10.836
_cell_length_b 8.756
_cell_length_c 8.382
_cell_angle_alpha 90.00
_cell_angle_beta 125.98
_cell_angle_gamma 90.00
_symmetry_space_group_name_H-M 'C 1 2/m 1'
_symmetry_Int_Tables_number 12
_symmetry_space_group_name_Hall '-C 2y'
loop_
_atom_site_label
_atom_site_fract_x
_atom_site_fract_y
_atom_site_fract_z
_atom_site_occupancy
Na1 0.008 0.000 0.259 1
Na2 0.207 0.297 0.232 1
Cd1 0.171 0.500 0.888 1
Sn1 0.131 0.500 0.487 1

# Zn2Cu3Ni3B (PBE, relaxed)
# VASP energy   -4.452 eV per atom
# ΔE_f   -0.135 eV/atom
data_Zn2Cu3Ni3B
_chemical_formula_sum 'Zn2 Cu3 Ni3 B1'
_cell_length_a 6.5409
_cell_length_b 6.5409
_cell_length_c 2.7454
_cell_angle_alpha 90.00
_cell_angle_beta 90.00
_cell_angle_gamma 120.00
_symmetry_space_group_name_H-M 'P -6 2 m'
_symmetry_Int_Tables_number 189
_symmetry_space_group_name_Hall 'P -6 -2'
loop_
_atom_site_label
_atom_site_fract_x
_atom_site_fract_y
_atom_site_fract_z
_atom_site_occupancy
Zn1 0.3333 0.6667 0.0000 1
Cu1 0.0000 0.6236 0.5000 1
Ni1 0.0000 0.2333 0.0000 1
B1 0.0000 0.0000 0.5000 1